Ca2Mg6AlAg: optimized geometry, PBE-GGA.

Results
DFT total energy: -2.03 eV per atom
theoretical density: 2.24 Mg/m³
energy of formation from the pure elements: -0.01 eV/atom

Unit cell a=8.044 b=9.889 c=6.736 alpha=90.00 beta=90.00 gamma=90.00
Sites, in units of the cell vectors:
1 Ca 0.250 0.005 0.237
2 Ca 0.250 0.495 0.237
3 Ca 0.750 0.505 0.763
4 Ca 0.750 0.995 0.763
5 Mg 0.061 0.250 0.916
6 Mg 0.066 0.750 0.551
7 Mg 0.250 0.001 0.735
8 Mg 0.250 0.499 0.735
9 Mg 0.434 0.750 0.551
10 Mg 0.439 0.250 0.916
11 Mg 0.561 0.750 0.084
12 Mg 0.566 0.250 0.449
13 Mg 0.750 0.501 0.265
14 Mg 0.750 0.999 0.265
15 Mg 0.934 0.250 0.449
16 Mg 0.939 0.750 0.084
17 Al 0.250 0.750 0.929
18 Al 0.750 0.250 0.071
19 Ag 0.250 0.250 0.559
20 Ag 0.750 0.750 0.441

FeReMo: optimized geometry, PBE-GGA.

Results
DFT total energy: -10.52 eV per atom
theoretical density: 12.95 Mg/m³
energy of formation from the pure elements: 0.06 eV/atom

Unit cell a=4.361 b=4.361 c=2.630 alpha=90.00 beta=90.00 gamma=120.00
Sites, in units of the cell vectors:
1 Fe 0.000 0.000 0.000
2 Re 0.667 0.333 0.660
3 Mo 0.333 0.667 0.342

NaY2PbW: optimized geometry, PBE-GGA.

Results
DFT total energy: -5.35 eV per atom
theoretical density: 6.16 Mg/m³
energy of formation from the pure elements: 0.83 eV/atom

Unit cell a=5.345 b=5.345 c=5.582 alpha=90.00 beta=90.00 gamma=90.00
Sites, in units of the cell vectors:
1 Na 0.000 0.000 0.000
2 Y 0.000 0.500 0.500
3 Y 0.500 0.000 0.500
4 Pb 0.500 0.500 0.000
5 W 0.000 0.000 0.500

Tb2NdBi2: optimized geometry, PBE-GGA.

Results
DFT total energy: -4.83 eV per atom
theoretical density: 8.81 Mg/m³
energy of formation from the pure elements: -0.47 eV/atom

Unit cell a=7.245 b=6.243 c=7.684 alpha=90.00 beta=107.28 gamma=90.00
Sites, in units of the cell vectors:
1 Tb 0.000 0.249 0.000
2 Tb 0.000 0.751 0.000
3 Tb 0.500 0.251 0.000
4 Tb 0.500 0.749 0.000
5 Nd 0.000 0.500 0.500
6 Nd 0.500 0.000 0.500
7 Bi 0.160 0.000 0.710
8 Bi 0.340 0.500 0.290
9 Bi 0.660 0.500 0.710
10 Bi 0.840 0.000 0.290

ZrCdI3: optimized geometry, PBE-GGA.

Results
DFT total energy: -3.23 eV per atom
theoretical density: 5.01 Mg/m³
ΔE_f (raw): -405 meV per atom

Unit cell a=5.785 b=5.785 c=5.785 alpha=90.00 beta=90.00 gamma=90.00
Sites, in units of the cell vectors:
1 Zr 0.000 0.000 0.000
2 Cd 0.500 0.500 0.500
3 I 0.000 0.000 0.500
4 I 0.000 0.500 0.000
5 I 0.500 0.000 0.000

PdC3F: optimized geometry, PBE-GGA.

Results
DFT total energy: -3.90 eV per atom
theoretical density: 5.15 Mg/m³
ΔE_f (raw): 3045 meV per atom

Unit cell a=3.735 b=3.735 c=3.735 alpha=90.00 beta=90.00 gamma=90.00
Sites, in units of the cell vectors:
1 Pd 0.000 0.000 0.000
2 C 0.000 0.500 0.500
3 C 0.500 0.000 0.500
4 C 0.500 0.500 0.000
5 F 0.500 0.500 0.500